# 1
{"formula": "Ce8PIr3Cl4", "functional": "PBE-GGA", "state": "optimized geometry", "lattice": [[4.098, 2.366, 7.083], [-4.098, 2.366, 7.083], [0.000, -4.732, 7.083]], "species": ["Ce", "Ce", "Ce", "Ce", "Ce", "Ce", "Ce", "Ce", "P", "Ir", "Ir", "Ir", "Cl", "Cl", "Cl", "Cl"], "frac_coords": [[0.237, 0.741, 0.741], [0.238, 0.238, 0.238], [0.259, 0.259, 0.763], [0.259, 0.763, 0.259], [0.741, 0.237, 0.741], [0.741, 0.741, 0.237], [0.762, 0.762, 0.762], [0.763, 0.259, 0.259], [0.500, 0.500, 0.500], [0.000, 0.000, 0.500], [0.000, 0.500, 0.000], [0.500, 0.000, 0.000], [0.000, 0.000, 0.000], [0.000, 0.500, 0.500], [0.500, 0.000, 0.500], [0.500, 0.500, 0.000]]}


# 2
{"formula": "Ce4IrPtCl2", "functional": "PBE-GGA", "state": "optimized geometry", "lattice": [[7.137, 0.000, 0.000], [0.000, 4.112, 0.000], [-2.378, 0.000, 7.251]], "species": ["Ce", "Ce", "Ce", "Ce", "Ir", "Pt", "Cl", "Cl"], "frac_coords": [[0.232, 0.000, 0.214], [0.254, 0.500, 0.784], [0.746, 0.500, 0.216], [0.768, 0.000, 0.786], [0.000, 0.500, 0.000], [0.500, 0.000, 0.000], [0.000, 0.000, 0.500], [0.500, 0.500, 0.500]]}


# 3
{"formula": "Ce8Ir3PtCl4", "functional": "PBE-GGA", "state": "optimized geometry", "lattice": [[4.097, 2.365, 7.306], [-4.097, 2.365, 7.306], [0.000, -4.730, 7.306]], "species": ["Ce", "Ce", "Ce", "Ce", "Ce", "Ce", "Ce", "Ce", "Ir", "Ir", "Ir", "Pt", "Cl", "Cl", "Cl", "Cl"], "frac_coords": [[0.231, 0.741, 0.741], [0.237, 0.237, 0.237], [0.259, 0.259, 0.769], [0.259, 0.769, 0.259], [0.741, 0.231, 0.741], [0.741, 0.741, 0.231], [0.763, 0.763, 0.763], [0.769, 0.259, 0.259], [0.000, 0.000, 0.500], [0.000, 0.500, 0.000], [0.500, 0.000, 0.000], [0.500, 0.500, 0.500], [0.000, 0.000, 0.000], [0.000, 0.500, 0.500], [0.500, 0.000, 0.500], [0.500, 0.500, 0.000]]}


# 4
{"formula": "CePuIrCl", "functional": "PBE-GGA", "state": "optimized geometry", "lattice": [[3.982, 0.000, 0.000], [-1.991, 3.448, 0.000], [0.000, 0.000, 22.892]], "species": ["Ce", "Ce", "Ce", "Pu", "Pu", "Pu", "Ir", "Ir", "Ir", "Cl", "Cl", "Cl"], "frac_coords": [[0.000, 0.000, 0.000], [0.333, 0.667, 0.667], [0.667, 0.333, 0.333], [0.000, 0.000, 0.804], [0.333, 0.667, 0.471], [0.667, 0.333, 0.137], [0.000, 0.000, 0.402], [0.333, 0.667, 0.069], [0.667, 0.333, 0.735], [0.000, 0.000, 0.235], [0.333, 0.667, 0.901], [0.667, 0.333, 0.568]]}


# 5
{"formula": "Ce8Ir3RhCl4", "functional": "PBE-GGA", "state": "optimized geometry", "lattice": [[7.035, -4.063, 0.000], [7.035, 4.063, 0.000], [-4.689, 0.000, 7.380]], "species": ["Ce", "Ce", "Ce", "Ce", "Ce", "Ce", "Ce", "Ce", "Ir", "Ir", "Ir", "Rh", "Cl", "Cl", "Cl", "Cl"], "frac_coords": [[0.236, 0.236, 0.709], [0.236, 0.737, 0.710], [0.262, 0.262, 0.290], [0.263, 0.764, 0.290], [0.737, 0.236, 0.710], [0.738, 0.738, 0.710], [0.764, 0.263, 0.290], [0.764, 0.764, 0.291], [0.000, 0.000, 0.500], [0.000, 0.500, 0.500], [0.500, 0.000, 0.500], [0.500, 0.500, 0.500], [0.000, 0.000, 0.000], [0.000, 0.500, 0.000], [0.500, 0.000, 0.000], [0.500, 0.500, 0.000]]}


# 6
{"formula": "Ce6Ir2RuCl3", "functional": "PBE-GGA", "state": "optimized geometry", "lattice": [[9.415, -2.022, 0.000], [9.415, 2.022, 0.000], [-2.883, 0.000, 8.244]], "species": ["Ce", "Ce", "Ce", "Ce", "Ce", "Ce", "Ir", "Ir", "Ru", "Cl", "Cl", "Cl"], "frac_coords": [[0.008, 0.008, 0.224], [0.324, 0.324, 0.441], [0.345, 0.345, 0.897], [0.655, 0.655, 0.103], [0.676, 0.676, 0.559], [0.992, 0.992, 0.776], [0.166, 0.166, 0.332], [0.834, 0.834, 0.668], [0.500, 0.500, 0.000], [0.166, 0.166, 0.832], [0.500, 0.500, 0.500], [0.834, 0.834, 0.168]]}


# 7
{"formula": "Ce8IrRu3Cl4", "functional": "PBE-GGA", "state": "optimized geometry", "lattice": [[4.009, 2.314, 7.419], [-4.009, 2.314, 7.419], [0.000, -4.629, 7.419]], "species": ["Ce", "Ce", "Ce", "Ce", "Ce", "Ce", "Ce", "Ce", "Ir", "Ru", "Ru", "Ru", "Cl", "Cl", "Cl", "Cl"], "frac_coords": [[0.232, 0.738, 0.738], [0.236, 0.236, 0.236], [0.262, 0.262, 0.768], [0.262, 0.768, 0.262], [0.738, 0.232, 0.738], [0.738, 0.738, 0.232], [0.764, 0.764, 0.764], [0.768, 0.262, 0.262], [0.500, 0.500, 0.500], [0.000, 0.000, 0.500], [0.000, 0.500, 0.000], [0.500, 0.000, 0.000], [0.000, 0.000, 0.000], [0.000, 0.500, 0.500], [0.500, 0.000, 0.500], [0.500, 0.500, 0.000]]}


# 8
{"formula": "Ce8Ir3SCl4", "functional": "PBE-GGA", "state": "optimized geometry", "lattice": [[4.073, 2.352, 7.076], [-4.073, 2.352, 7.076], [0.000, -4.703, 7.076]], "species": ["Ce", "Ce", "Ce", "Ce", "Ce", "Ce", "Ce", "Ce", "Ir", "Ir", "Ir", "S", "Cl", "Cl", "Cl", "Cl"], "frac_coords": [[0.237, 0.237, 0.237], [0.240, 0.741, 0.741], [0.259, 0.259, 0.760], [0.259, 0.760, 0.259], [0.741, 0.240, 0.741], [0.741, 0.741, 0.240], [0.760, 0.259, 0.259], [0.763, 0.763, 0.763], [0.000, 0.000, 0.500], [0.000, 0.500, 0.000], [0.500, 0.000, 0.000], [0.500, 0.500, 0.500], [0.000, 0.000, 0.000], [0.000, 0.500, 0.500], [0.500, 0.000, 0.500], [0.500, 0.500, 0.000]]}


# 9
{"formula": "Ce4IrSCl2", "functional": "PBE-GGA", "state": "optimized geometry", "lattice": [[7.157, 0.000, 0.000], [0.000, 3.979, 0.000], [-2.321, 0.000, 6.832]], "species": ["Ce", "Ce", "Ce", "Ce", "Ir", "S", "Cl", "Cl"], "frac_coords": [[0.226, 0.000, 0.237], [0.236, 0.500, 0.742], [0.764, 0.500, 0.258], [0.774, 0.000, 0.763], [0.000, 0.500, 0.000], [0.000, 0.000, 0.500], [0.500, 0.000, 0.000], [0.500, 0.500, 0.500]]}


# 10
{"formula": "Ce4IrSe2Cl", "functional": "PBE-GGA", "state": "optimized geometry", "lattice": [[7.208, 0.000, 0.000], [0.000, 4.053, 0.000], [-2.399, 0.000, 6.945]], "species": ["Ce", "Ce", "Ce", "Ce", "Ir", "Se", "Se", "Cl"], "frac_coords": [[0.231, 0.000, 0.232], [0.247, 0.500, 0.755], [0.753, 0.500, 0.245], [0.769, 0.000, 0.768], [0.000, 0.500, 0.000], [0.000, 0.000, 0.500], [0.500, 0.500, 0.500], [0.500, 0.000, 0.000]]}


# 11
{"formula": "Ce8SiIr3Cl4", "functional": "PBE-GGA", "state": "optimized geometry", "lattice": [[4.131, 2.385, 7.044], [-4.131, 2.385, 7.044], [0.000, -4.770, 7.044]], "species": ["Ce", "Ce", "Ce", "Ce", "Ce", "Ce", "Ce", "Ce", "Si", "Ir", "Ir", "Ir", "Cl", "Cl", "Cl", "Cl"], "frac_coords": [[0.232, 0.744, 0.744], [0.239, 0.239, 0.239], [0.256, 0.256, 0.768], [0.256, 0.768, 0.256], [0.744, 0.232, 0.744], [0.744, 0.744, 0.232], [0.761, 0.761, 0.761], [0.768, 0.256, 0.256], [0.500, 0.500, 0.500], [0.000, 0.000, 0.500], [0.000, 0.500, 0.000], [0.500, 0.000, 0.000], [0.000, 0.000, 0.000], [0.000, 0.500, 0.500], [0.500, 0.000, 0.500], [0.500, 0.500, 0.000]]}


# 12
{"formula": "KCe4Cl12", "functional": "PBE-GGA", "state": "optimized geometry", "lattice": [[-5.318, 5.458, 5.458], [5.318, -5.458, 5.458], [5.318, 5.458, -5.458]], "species": ["K", "Ce", "Ce", "Ce", "Ce", "Cl", "Cl", "Cl", "Cl", "Cl", "Cl", "Cl", "Cl", "Cl", "Cl", "Cl", "Cl"], "frac_coords": [[0.000, 0.000, 0.000], [0.000, 0.000, 0.500], [0.000, 0.500, 0.000], [0.500, 0.000, 0.000], [0.500, 0.500, 0.500], [0.000, 0.306, 0.694], [0.000, 0.694, 0.306], [0.247, 0.182, 0.429], [0.247, 0.818, 0.065], [0.248, 0.066, 0.818], [0.248, 0.431, 0.182], [0.388, 0.694, 0.694], [0.612, 0.306, 0.306], [0.752, 0.569, 0.818], [0.752, 0.934, 0.182], [0.753, 0.182, 0.935], [0.753, 0.818, 0.571]]}


The following uncorrected formation energy values (in meV/atom) correspond, in order, to the records above: -1214, -1199, -1180, -972, -1154, -1078, -977, -1269, -1417, -1443, -1107, -2140.